# Na2LiWF6

An optimized crystal structure of Na2LiWF6 (PBE+U, Alexandria via LeMat-Bulk).

Its total energy is -5.05 eV/atom. The value obtained for the total moment is 0.3000 μB/atom. For the theoretical density, the calculation gives 4.55 Mg/m³. The value obtained for the density of states at the Fermi level is 0.00 states/eV per cell.

The space group is P2_1/c (No. 14) and the conventional cell measures 5.526, 5.697 and 9.662 Å, with angles of 90.00, 122.69 and 90.00 degrees. Symmetry generates all atoms from Na at (0.219, 0.057, 0.244), Li at (0.000, 0.000, 0.500), W at (0.500, 0.000, 0.000), F at (0.136, 0.205, 0.940), F at (0.229, 0.703, 0.932) and F at (0.373, 0.051, 0.752).